Entry 1:
A relaxed structure of SmGdAlOs, computed with PBE-GGA.

The structure in POSCAR format:
```
SmGdAlOs
1.0
0.000 3.549 3.549
3.549 0.000 3.549
3.549 3.549 0.000
Sm Gd Al Os
1 1 1 1
Cartesian
0.000 0.000 0.000 Sm
3.549 3.549 3.549 Gd
5.323 5.323 5.323 Al
1.774 1.774 1.774 Os
```

The calculation puts the density of states at the Fermi level at 1.8 states/eV/cell. As for the total energy: -34.47 eV for the cell shown. The formation energy comes out at -68 kJ/mol of formula units.

***

Entry 2:
A relaxed structure of GdTmAlOs, computed with PBE-GGA.

The structure in POSCAR format:
```
GdTmAlOs
1.0
0.000 3.484 3.484
3.484 0.000 3.484
3.484 3.484 0.000
Gd Tm Al Os
1 1 1 1
Cartesian
0.000 0.000 0.000 Gd
3.484 3.484 3.484 Tm
1.742 1.742 1.742 Al
5.226 5.226 5.226 Os
```

The calculation puts the density of states at the Fermi level at 1.9 states/eV/cell. As for the total energy: -34.61 eV for the cell shown. The formation energy comes out at -105 kJ/mol of formula units.

***

Entry 3:
A relaxed structure of GdYAlOs, computed with PBE-GGA.

The structure in POSCAR format:
```
GdYAlOs
1.0
0.000 3.513 3.513
3.513 0.000 3.513
3.513 3.513 0.000
Gd Y Al Os
1 1 1 1
Cartesian
0.000 0.000 0.000 Gd
3.513 3.513 3.513 Y
1.756 1.756 1.756 Al
5.269 5.269 5.269 Os
```

The calculation puts the density of states at the Fermi level at 1.9 states/eV/cell. As for the total energy: -36.47 eV for the cell shown. The formation energy comes out at -92 kJ/mol of formula units.

***

Entry 4:
A relaxed structure of GdPaAl2, computed with PBE-GGA.

The structure in POSCAR format:
```
GdPaAl2
1.0
0.000 3.606 3.606
3.606 0.000 3.606
3.606 3.606 0.000
Gd Pa Al
1 1 2
Cartesian
0.000 0.000 0.000 Gd
3.606 3.606 3.606 Pa
1.803 1.803 1.803 Al
5.409 5.409 5.409 Al
```

The calculation puts the density of states at the Fermi level at 6.9 states/eV/cell. As for the total energy: -31.51 eV for the cell shown. Its energy above the lowest structure with this stoichiometry is 0.137 eV per atom. The formation energy comes out at -43 kJ/mol of formula units.

***

Entry 5:
A relaxed structure of GdPaAl2, computed with PBE-GGA.

The structure in POSCAR format:
```
GdPaAl2
1.0
1.602 0.925 10.386
-1.602 0.925 10.386
0.000 -1.850 10.386
Gd Pa Al
1 1 2
Cartesian
0.000 0.000 0.000 Gd
0.000 0.000 15.579 Pa
0.000 0.000 7.776 Al
0.000 0.000 23.381 Al
```

The calculation puts the density of states at the Fermi level at 6.0 states/eV/cell. As for the total energy: -31.20 eV for the cell shown. Its energy above the lowest structure with this stoichiometry is 0.213 eV per atom. The formation energy comes out at -14 kJ/mol of formula units.

***

Entry 6:
A relaxed structure of GdPaAl2, computed with PBE-GGA.

The structure in POSCAR format:
```
GdPaAl2
1.0
4.633 0.000 0.000
0.000 4.633 0.000
0.000 0.000 4.271
Gd Pa Al
1 1 2
Cartesian
0.000 0.000 0.000 Gd
2.317 2.317 0.000 Pa
0.000 2.317 2.135 Al
2.317 0.000 2.135 Al
```

The calculation puts the density of states at the Fermi level at 5.1 states/eV/cell. As for the total energy: -31.66 eV for the cell shown. Its energy above the lowest structure with this stoichiometry is 0.099 eV per atom. The formation energy comes out at -57 kJ/mol of formula units.